(1)
Here is a geometry-optimized MgAuO3 structure from Alexandria via LeMat-Bulk. Energies are from PBE.

Output
SG: No. 221
E: -4.217 eV/atom
total moment: 3.000 μB/cell

abc: 3.879 3.879 3.879
angles: 90.00 90.00 90.00
Fractional positions:
Mg: 0.000 0.000 0.000
Au: 0.500 0.500 0.500
O: 0.000 0.000 0.500
O: 0.000 0.500 0.000
O: 0.500 0.000 0.000

=====

(2)
Here is a geometry-optimized LiPr2Au3 structure from Alexandria via LeMat-Bulk. Energies are from PBE.

Output
SG: No. 25
E_form: -0.669 eV per atom
total moment: 0.000 μB/cell
ΔE to the lowest computed polymorph: 5 meV/atom

abc: 3.733 4.680 8.146
angles: 90.00 90.00 90.00
Fractional positions:
Li: 0.000 0.000 0.000
Pr: 0.500 0.000 0.655
Pr: 0.500 0.500 0.187
Au: 0.000 0.000 0.317
Au: 0.000 0.500 0.516
Au: 0.000 0.500 0.863

=====

(3)
Here is a geometry-optimized CoCuS3 structure from Alexandria via LeMat-Bulk. Energies are from PBE.

Output
SG: No. 221
total moment: 1.826 μB/cell
ΔE to the lowest computed polymorph: 340 meV/atom

abc: 4.406 4.406 4.406
angles: 90.00 90.00 90.00
Fractional positions:
Co: 0.000 0.000 0.000
Cu: 0.500 0.500 0.500
S: 0.000 0.000 0.500
S: 0.000 0.500 0.000
S: 0.500 0.000 0.000

=====

(4)
Here is a geometry-optimized SrTh4Bi5 structure from Alexandria via LeMat-Bulk. Energies are from PBE.

Output
SG: No. 71
E_form: -0.648 eV per atom
total moment: 0.000 μB/cell

abc: 12.307 12.307 12.307
angles: 158.34 149.21 37.96
Fractional positions:
Sr: 0.000 0.000 0.000
Th: 0.203 0.203 0.000
Th: 0.400 0.400 0.000
Th: 0.600 0.600 0.000
Th: 0.797 0.797 0.000
Bi: 0.104 0.604 0.500
Bi: 0.301 0.801 0.500
Bi: 0.500 0.000 0.500
Bi: 0.699 0.199 0.500
Bi: 0.896 0.396 0.500

=====

(5)
Here is a geometry-optimized PSICl2 structure from Alexandria via LeMat-Bulk. Energies are from PBE.

Output
SG: No. 123
total moment: 1.944 μB/cell
ΔE to the lowest computed polymorph: 808 meV/atom

abc: 5.290 5.290 5.497
angles: 90.00 90.00 90.00
Fractional positions:
P: 0.000 0.000 0.000
S: 0.500 0.500 0.000
I: 0.000 0.000 0.500
Cl: 0.000 0.500 0.500
Cl: 0.500 0.000 0.500

=====

(6)
Here is a geometry-optimized Cd8Pd3Au structure from Alexandria via LeMat-Bulk. Energies are from PBE.

Output
SG: No. 69
E_form: -0.197 eV per atom
total moment: 0.000 μB/cell

abc: 8.174 7.995 6.371
angles: 68.28 65.32 46.39
Fractional positions:
Cd: 0.110 0.620 0.890
Cd: 0.125 0.634 0.366
Cd: 0.366 0.875 0.125
Cd: 0.380 0.890 0.620
Cd: 0.620 0.110 0.380
Cd: 0.634 0.125 0.875
Cd: 0.875 0.366 0.634
Cd: 0.890 0.380 0.110
Pd: 0.000 0.000 0.000
Pd: 0.250 0.250 0.250
Pd: 0.750 0.750 0.750
Au: 0.500 0.500 0.500

=====

(7)
Here is a geometry-optimized Pm5NdY6 structure from Alexandria via LeMat-Bulk. Energies are from PBE.

Output
SG: No. 12
E_form: 0.010 eV per atom
total moment: 0.000 μB/cell
ΔE to the lowest computed polymorph: 0 meV/atom

abc: 6.271 6.271 11.879
angles: 95.02 95.02 119.98
Fractional positions:
Pm: 0.000 0.000 0.000
Pm: 0.167 0.833 0.500
Pm: 0.333 0.667 0.000
Pm: 0.667 0.333 0.000
Pm: 0.833 0.167 0.500
Nd: 0.500 0.500 0.500
Y: 0.084 0.417 0.250
Y: 0.250 0.250 0.750
Y: 0.417 0.084 0.250
Y: 0.583 0.916 0.750
Y: 0.750 0.750 0.250
Y: 0.916 0.583 0.750

=====

(8)
Here is a geometry-optimized K4LiF6 structure from Alexandria via LeMat-Bulk. Energies are from PBE.

Output
SG: No. 9
E: -4.077 eV/atom
total moment: 2.172 μB/cell

abc: 7.405 7.405 12.575
angles: 118.05 118.05 51.08
Fractional positions:
K: 0.014 0.986 0.500
K: 0.211 0.278 0.864
K: 0.278 0.211 0.364
K: 0.301 0.545 0.705
K: 0.545 0.301 0.205
K: 0.643 0.717 0.555
K: 0.717 0.643 0.055
K: 0.986 0.014 0.000
Li: 0.675 0.747 0.824
Li: 0.747 0.675 0.324
F: 0.167 0.271 0.061
F: 0.271 0.167 0.561
F: 0.352 0.580 0.943
F: 0.379 0.853 0.703
F: 0.450 0.751 0.320
F: 0.580 0.352 0.443
F: 0.652 0.966 0.982
F: 0.703 0.920 0.282
F: 0.751 0.450 0.820
F: 0.853 0.379 0.203
F: 0.920 0.703 0.782
F: 0.966 0.652 0.482

=====

(9)
Here is a geometry-optimized ScAlTl2Mo structure from Alexandria via LeMat-Bulk. Energies are from PBE.

Output
SG: No. 123
E_form: 0.722 eV per atom
total moment: 0.000 μB/cell

abc: 5.436 5.436 4.889
angles: 90.00 90.00 90.00
Fractional positions:
Sc: 0.000 0.000 0.000
Al: 0.500 0.500 0.000
Tl: 0.000 0.500 0.500
Tl: 0.500 0.000 0.500
Mo: 0.000 0.000 0.500

=====

(10)
Here is a geometry-optimized CrIrAu structure from Alexandria via LeMat-Bulk. Energies are from PBE.

Output
SG: No. 156
E_form: 0.128 eV per atom
total moment: 0.000 μB/cell
ΔE to the lowest computed polymorph: 39 meV/atom

abc: 2.741 2.741 6.882
angles: 90.00 90.00 120.00
Fractional positions:
Cr: 0.000 0.000 0.000
Ir: 0.667 0.333 0.285
Au: 0.333 0.667 0.660

=====

(11)
Here is a geometry-optimized Nd4CdBi structure from Alexandria via LeMat-Bulk. Energies are from PBE.

Output
SG: No. 15
E_form: -0.347 eV per atom
total moment: 0.000 μB/cell

abc: 8.573 8.573 6.214
angles: 101.11 101.11 116.37
Fractional positions:
Nd: 0.090 0.706 0.941
Nd: 0.215 0.398 0.643
Nd: 0.294 0.910 0.559
Nd: 0.398 0.215 0.143
Nd: 0.602 0.785 0.857
Nd: 0.706 0.090 0.441
Nd: 0.785 0.602 0.357
Nd: 0.910 0.294 0.059
Cd: 0.002 0.998 0.250
Cd: 0.998 0.002 0.750
Bi: 0.387 0.613 0.250
Bi: 0.613 0.387 0.750

=====

(12)
Here is a geometry-optimized BaIn2NiI structure from Alexandria via LeMat-Bulk. Energies are from PBE.

Output
SG: No. 123
E: -3.453 eV/atom
total moment: 0.000 μB/cell

abc: 5.029 5.029 6.301
angles: 90.00 90.00 90.00
Fractional positions:
Ba: 0.000 0.000 0.000
In: 0.000 0.500 0.500
In: 0.500 0.000 0.500
Ni: 0.000 0.000 0.500
I: 0.500 0.500 0.000